Zn2BIr PBEsol optimized geometry; crystal system = tetragonal; M_tot = 0.000 μB/atom; space-group type = I-42d, No. 122; E_form = 49.70 kJ per mole of atoms
1.0
-1.6334 1.6334 9.4604
1.6334 -1.6334 9.4604
1.6334 1.6334 -9.4604
Zn B Ir
4 2 2
Direct
0.1244 0.6250 0.9994
0.3750 0.3744 0.4994
0.6256 0.1250 0.0006
0.8750 0.8756 0.5006
0.2500 0.7500 0.5000
0.5000 0.5000 0.0000
0.0000 0.0000 0.0000
0.7500 0.2500 0.5000

---

Zr2BIr6 PBEsol optimized geometry; crystal system = cubic; M_tot = 0.000 μB/atom; space-group type = Fm-3m, No. 225; E_form = -79.79 kJ per mole of atoms
1.0
0.0000 4.0195 4.0195
4.0195 0.0000 4.0195
4.0195 4.0195 0.0000
Zr B Ir
2 1 6
Direct
0.2500 0.2500 0.2500
0.7500 0.7500 0.7500
0.0000 0.0000 0.0000
0.2586 0.2586 0.7414
0.2586 0.7414 0.2586
0.2586 0.7414 0.7414
0.7414 0.2586 0.2586
0.7414 0.2586 0.7414
0.7414 0.7414 0.2586

---

KLa2B2 PBEsol optimized geometry; crystal system = tetragonal; M_tot = 0.140 μB/atom; space-group type = I4/mmm, No. 139; E_form = 55.54 kJ per mole of atoms
1.0
-2.6462 2.6462 4.0099
2.6462 -2.6462 4.0099
2.6462 2.6462 -4.0099
K La B
1 2 2
Direct
0.0000 0.0000 0.0000
0.2500 0.7500 0.5000
0.7500 0.2500 0.5000
0.3996 0.3996 0.0000
0.6004 0.6004 0.0000